1.
Entry from Alexandria: a relaxed structure of Nb6As2C (GGA-PBE). Values from VASP.

Computed properties:
* crystal system: monoclinic
* formation energy from the elements: -430 meV/atom
* space group: P2_1/c (14)
* calculated volume: 16.43 Å³ per atom

```
&SYSTEM
  ibrav = 0, nat = 18, ntyp = 3
/
ATOMIC_SPECIES
Nb 92.91 Nb.upf
As 74.92 As.upf
C 12.01 C.upf
ATOMIC_POSITIONS crystal
Nb 0.8348 0.6751 0.9517
Nb 0.3933 0.5113 0.7353
Nb 0.1521 0.3026 0.4490
As 0.5541 0.8896 0.7524
Nb 0.3348 0.8249 0.4517
C 0.0000 0.0000 0.5000
Nb 0.8479 0.6974 0.5510
Nb 0.8933 0.9887 0.2353
Nb 0.1652 0.3249 0.0483
As 0.0541 0.6104 0.2524
Nb 0.6652 0.1751 0.5483
Nb 0.6067 0.4887 0.2647
Nb 0.1067 0.0113 0.7647
Nb 0.6521 0.1974 0.9490
As 0.4459 0.1104 0.2476
Nb 0.3479 0.8026 0.0510
As 0.9459 0.3896 0.7476
C 0.5000 0.5000 0.0000
CELL_PARAMETERS angstrom
5.5645 0.0000 0.2145
0.0000 6.5764 0.0000
-0.4032 0.0000 8.0654
```

=====

2.
Entry from Alexandria: a relaxed structure of Nb4AsC (GGA-PBE). Values from VASP.

Computed properties:
* crystal system: monoclinic
* formation energy from the elements: -325 meV/atom
* space group: C2/c (15)
* calculated volume: 16.47 Å³ per atom

```
&SYSTEM
  ibrav = 0, nat = 12, ntyp = 3
/
ATOMIC_SPECIES
As 74.92 As.upf
Nb 92.91 Nb.upf
C 12.01 C.upf
ATOMIC_POSITIONS crystal
As 0.6336 0.3836 0.7671
Nb 0.4395 0.7270 0.9023
C 0.1846 0.9346 0.8692
Nb 0.2821 0.9054 0.5705
Nb 0.7883 0.6651 0.5705
C 0.8154 0.0654 0.1308
As 0.3664 0.6164 0.2329
Nb 0.2117 0.3349 0.4295
Nb 0.9628 0.1753 0.9023
Nb 0.7179 0.0946 0.4295
Nb 0.5605 0.2730 0.0977
Nb 0.0372 0.8247 0.0977
CELL_PARAMETERS angstrom
5.4989 -0.3414 0.0000
-1.2972 6.0018 0.0000
-2.1008 -2.8302 6.0711
```

=====

3.
Entry from Alexandria: a relaxed structure of NbAs3C (GGA-PBE). Values from VASP.

Computed properties:
* crystal system: cubic
* formation energy from the elements: 1604 meV/atom
* relative energy among the computed polymorphs: 0.651 eV per atom
* space group: Pm-3m (221)
* calculated volume: 24.72 Å³ per atom

```
&SYSTEM
  ibrav = 0, nat = 5, ntyp = 3
/
ATOMIC_SPECIES
As 74.92 As.upf
Nb 92.91 Nb.upf
C 12.01 C.upf
ATOMIC_POSITIONS crystal
As 0.0000 0.0000 0.5000
Nb 0.0000 0.0000 0.0000
C 0.5000 0.5000 0.5000
As 0.5000 0.0000 0.0000
As 0.0000 0.5000 0.0000
CELL_PARAMETERS angstrom
4.9816 0.0000 0.0000
0.0000 4.9816 0.0000
0.0000 0.0000 4.9816
```

=====

4.
Entry from Alexandria: a relaxed structure of Nb4As2C (GGA-PBE). Values from VASP.

Computed properties:
* crystal system: orthorhombic
* formation energy from the elements: -570 meV/atom
* space group: Pbam (55)
* calculated volume: 16.25 Å³ per atom

```
&SYSTEM
  ibrav = 0, nat = 14, ntyp = 3
/
ATOMIC_SPECIES
As 74.92 As.upf
C 12.01 C.upf
Nb 92.91 Nb.upf
ATOMIC_POSITIONS crystal
As 0.5000 0.9250 0.8496
C 0.0000 0.0000 0.5000
As 0.5000 0.4250 0.6504
Nb 0.5000 0.6932 0.0683
Nb 0.0000 0.8736 0.3022
Nb 0.0000 0.1264 0.6978
Nb 0.5000 0.3068 0.9317
Nb 0.0000 0.6264 0.8022
Nb 0.5000 0.8068 0.5683
C 0.0000 0.5000 0.0000
As 0.5000 0.5750 0.3496
As 0.5000 0.0750 0.1504
Nb 0.0000 0.3736 0.1978
Nb 0.5000 0.1932 0.4317
CELL_PARAMETERS angstrom
3.3616 0.0000 0.0000
0.0000 6.7057 0.0000
0.0000 0.0000 10.0930
```

=====

5.
Entry from Alexandria: a relaxed structure of Nb2AsC (GGA-PBE). Values from VASP.

Computed properties:
* crystal system: trigonal
* formation energy from the elements: -585 meV/atom
* relative energy among the computed polymorphs: 0.048 eV per atom
* space group: R3m (160)
* calculated volume: 14.54 Å³ per atom

```
&SYSTEM
  ibrav = 0, nat = 4, ntyp = 3
/
ATOMIC_SPECIES
Nb 92.91 Nb.upf
C 12.01 C.upf
As 74.92 As.upf
ATOMIC_POSITIONS crystal
Nb 0.2692 0.2692 0.1923
Nb 0.0637 0.0637 0.8088
C 0.6674 0.6674 0.9978
As 0.4996 0.4996 0.5011
CELL_PARAMETERS angstrom
3.3029 0.0000 0.0000
1.6514 2.8604 0.0000
1.6514 0.9535 6.1545
```

=====

6.
Entry from Alexandria: a relaxed structure of Nb2AsC (GGA-PBE). Values from VASP.

Computed properties:
* crystal system: cubic
* formation energy from the elements: 314 meV/atom
* relative energy among the computed polymorphs: 0.947 eV per atom
* space group: Fm-3m (225)
* calculated volume: 14.16 Å³ per atom

```
&SYSTEM
  ibrav = 0, nat = 4, ntyp = 3
/
ATOMIC_SPECIES
C 12.01 C.upf
Nb 92.91 Nb.upf
As 74.92 As.upf
ATOMIC_POSITIONS crystal
C 0.0000 0.0000 0.0000
Nb 0.2500 0.2500 0.2500
As 0.5000 0.5000 0.5000
Nb 0.7500 0.7500 0.7500
CELL_PARAMETERS angstrom
0.0000 3.0482 3.0482
3.0482 0.0000 3.0482
3.0482 3.0482 0.0000
```

=====

7.
Entry from Alexandria: a relaxed structure of Nb2AsC (GGA-PBE). Values from VASP.

Computed properties:
* crystal system: tetragonal
* formation energy from the elements: 128 meV/atom
* relative energy among the computed polymorphs: 0.761 eV per atom
* space group: I-42d (122)
* calculated volume: 18.68 Å³ per atom

```
&SYSTEM
  ibrav = 0, nat = 8, ntyp = 3
/
ATOMIC_SPECIES
C 12.01 C.upf
Nb 92.91 Nb.upf
As 74.92 As.upf
ATOMIC_POSITIONS crystal
C 0.2500 0.7500 0.5000
Nb 0.8750 0.7990 0.7500
As 0.0000 0.0000 0.0000
Nb 0.3750 0.4510 0.7500
Nb 0.5490 0.1250 0.2500
C 0.5000 0.5000 0.0000
As 0.7500 0.2500 0.5000
Nb 0.2010 0.6250 0.2500
CELL_PARAMETERS angstrom
5.3368 0.0000 0.0000
0.0000 5.3368 0.0000
2.6684 2.6684 5.2468
```

=====

8.
Entry from Alexandria: a relaxed structure of Nb5As2C2 (GGA-PBE). Values from VASP.

Computed properties:
* crystal system: monoclinic
* formation energy from the elements: -348 meV/atom
* space group: C2/m (12)
* calculated volume: 15.24 Å³ per atom

```
&SYSTEM
  ibrav = 0, nat = 9, ntyp = 3
/
ATOMIC_SPECIES
Nb 92.91 Nb.upf
C 12.01 C.upf
As 74.92 As.upf
ATOMIC_POSITIONS crystal
Nb 0.6703 0.3406 0.9215
Nb 0.3297 0.6594 0.0785
C 0.8404 0.6808 0.0719
C 0.1596 0.3192 0.9281
Nb 0.8170 0.6340 0.5435
As 0.4269 0.8538 0.6552
Nb 0.1830 0.3660 0.4565
As 0.5731 0.1462 0.3448
Nb 0.0000 0.0000 0.0000
CELL_PARAMETERS angstrom
4.5090 0.0000 0.0000
-2.2545 6.7347 0.0953
0.0000 -1.3234 4.4973
```

=====

- Look up the calculated volume of the third one.
  24.72 Å³ per atom